No. 1
NdHoGa2Pt2 | Alexandria | GGA-PBE | relaxed; electronic total energy = -33.784 eV/cell; energy relative to the elements = -1050.5 meV per atom
1.0
-1.143 3.186 -2.938
-2.989 -3.116 1.203
-2.188 4.175 5.379
Nd Ho Ga Pt
1 1 2 2
Cartesian
0.000 0.000 0.000
-1.094 2.088 2.689
-3.351 4.126 2.358
-2.969 0.120 1.285
-2.356 2.226 -0.089
-3.964 2.020 3.732

No. 2
Nd2HoGa3Pt4 | Alexandria | GGA-PBE | relaxed; electronic total energy = -57.219 eV/cell; energy relative to the elements = -986.2 meV per atom
1.0
-0.481 -4.222 0.233
4.070 -0.399 1.179
-3.081 0.956 10.960
Nd Ho Ga Pt
2 1 3 4
Cartesian
-0.943 -1.893 2.615
-0.344 0.539 9.051
0.254 -1.832 6.186
-1.541 0.478 5.480
-2.939 -1.274 9.717
1.653 -0.081 1.949
1.794 -2.310 0.706
0.000 0.000 0.000
-2.263 -1.483 7.311
0.976 0.129 4.355

No. 3
NdHoGa5Pt2 | Alexandria | GGA-PBE | relaxed; electronic total energy = -39.995 eV/cell; energy relative to the elements = -381.5 meV per atom
1.0
-4.451 -0.988 1.240
-0.354 -2.981 -3.648
3.064 -6.999 5.423
Nd Ho Ga Pt
1 1 5 2
Cartesian
1.532 -3.500 2.711
0.000 0.000 0.000
0.422 -2.858 -0.764
-1.627 -1.862 1.680
2.288 -7.122 2.539
0.240 -6.125 4.983
-0.870 -5.484 1.507
-1.627 -3.757 0.169
-0.114 -7.212 2.846

No. 4
NdHo2Ga2Pt7 | Alexandria | GGA-PBE | relaxed; electronic total energy = -73.381 eV/cell; energy relative to the elements = -926.5 meV per atom
1.0
4.074 0.022 -0.039
0.027 4.073 -0.039
1.874 1.872 13.957
Nd Ho Ga Pt
1 2 2 7
Cartesian
0.000 0.000 0.000
4.219 4.214 4.948
1.756 1.754 8.930
3.890 3.885 10.234
2.085 2.082 3.644
2.050 2.048 -0.039
2.252 2.249 6.062
3.723 3.718 7.816
4.106 2.079 2.188
2.084 4.104 2.188
3.890 1.864 11.690
1.868 3.888 11.690

No. 5
NdHoGaRh | Alexandria | GGA-PBE | relaxed; electronic total energy = -22.493 eV/cell; polymorph energy (0 for the lowest one) = 0.000 eV per atom; energy relative to the elements = -692.3 meV per atom
1.0
4.317 0.000 0.000
0.000 3.930 0.000
-2.158 0.000 5.558
Nd Ho Ga Rh
1 1 1 1
Cartesian
0.000 0.000 1.700
2.158 1.965 4.081
2.158 1.965 0.732
0.000 0.000 4.602

No. 6
NdHoGa2Rh2 | Alexandria | GGA-PBE | relaxed; electronic total energy = -34.928 eV/cell; energy relative to the elements = -804.2 meV per atom
1.0
-4.360 -0.655 0.067
2.645 -2.960 -1.918
0.626 -3.525 6.304
Nd Ho Ga Rh
1 1 2 2
Cartesian
0.000 0.000 0.000
0.313 -1.763 3.152
-1.567 -3.999 4.010
0.479 -3.142 0.443
-1.846 -2.430 1.204
0.758 -4.711 3.248

No. 7
NdHoGaRh | Alexandria | GGA-PBE | relaxed; electronic total energy = -22.131 eV/cell; polymorph energy (0 for the lowest one) = 0.090 eV per atom; energy relative to the elements = -601.9 meV per atom
1.0
5.039 0.000 0.000
2.519 4.364 0.000
2.519 1.455 4.114
Rh Nd Ho Ga
1 1 1 1
Cartesian
7.558 4.364 3.086
5.039 2.909 2.057
0.000 0.000 0.000
2.519 1.455 1.029

No. 8
NdHoGa2Ru2 | Alexandria | GGA-PBE | relaxed; electronic total energy = -36.703 eV/cell; energy relative to the elements = -458.6 meV per atom
1.0
4.343 0.000 0.000
-2.171 3.761 0.000
0.000 0.000 7.508
Nd Ho Ga Ru
1 1 2 2
Cartesian
0.000 0.000 0.000
0.000 0.000 3.754
2.171 1.254 5.484
0.000 2.507 2.024
2.171 1.254 1.997
0.000 2.507 5.512

No. 9
NdHoGaRu | Alexandria | GGA-PBE | relaxed; electronic total energy = -23.139 eV/cell; polymorph energy (0 for the lowest one) = 0.062 eV per atom; energy relative to the elements = -372.6 meV per atom
1.0
5.010 0.000 0.000
2.505 4.339 0.000
2.505 1.446 4.090
Ru Nd Ho Ga
1 1 1 1
Cartesian
5.010 2.892 2.045
2.505 1.446 1.023
7.515 4.339 3.068
0.000 0.000 0.000

No. 10
NdHoGaRu | Alexandria | GGA-PBE | relaxed; electronic total energy = -23.387 eV/cell; polymorph energy (0 for the lowest one) = 0.000 eV per atom; energy relative to the elements = -434.7 meV per atom
1.0
-2.125 2.895 1.784
-2.763 0.038 -3.354
-1.961 -5.176 1.557
Nd Ho Ga Ru
1 1 1 1
Cartesian
-0.883 -1.089 0.715
-4.631 -1.229 0.986
-2.823 1.000 -0.478
-2.600 -3.205 2.106

No. 11
NdSmHoGa | Alexandria | GGA-PBE | relaxed; electronic total energy = -17.475 eV/cell; energy relative to the elements = -95.9 meV per atom
1.0
5.405 0.000 0.000
2.703 4.681 0.000
2.703 1.560 4.413
Ga Nd Ho Sm
1 1 1 1
Cartesian
5.405 3.121 2.207
2.703 1.560 1.103
0.000 0.000 0.000
8.108 4.681 3.310

No. 12
TbNdHoGa | Alexandria | GGA-PBE | relaxed; electronic total energy = -17.363 eV/cell; energy relative to the elements = -90.1 meV per atom
1.0
5.378 0.000 0.000
2.689 4.658 0.000
2.689 1.553 4.391
Nd Tb Ho Ga
1 1 1 1
Cartesian
5.378 3.105 2.196
0.000 0.000 0.000
2.689 1.553 1.098
8.068 4.658 3.294

No. 13
NdHo2Zn2Ga2 | Alexandria | GGA-PBE | relaxed; electronic total energy = -25.349 eV/cell; energy relative to the elements = -403.4 meV per atom
1.0
4.468 0.000 0.000
2.234 3.869 0.000
2.234 1.290 9.250
Nd Ho Zn Ga
1 2 2 2
Cartesian
0.000 0.000 0.000
2.234 1.290 5.692
6.702 3.869 3.558
4.468 2.580 1.954
4.468 2.580 7.297
6.702 3.869 7.154
2.234 1.290 2.097

No. 14
Nd2Ho2ZnGa4 | Alexandria | GGA-PBE | relaxed; electronic total energy = -35.052 eV/cell; energy relative to the elements = -331.0 meV per atom
1.0
6.622 0.145 0.209
-3.052 5.879 -0.209
-3.052 -2.261 5.431
Nd Ho Zn Ga
2 2 1 4
Cartesian
0.259 3.916 1.305
0.259 -0.154 4.125
-4.184 2.480 3.579
-1.920 1.138 1.643
0.000 0.000 0.000
-3.052 3.877 1.178
-1.238 2.802 4.044
-3.052 -0.259 4.044
1.756 0.961 1.387

No. 15
HoGa2Ni4 | Alexandria | GGA-PBE | relaxed; electronic total energy = -36.468 eV/cell; polymorph energy (0 for the lowest one) = 0.065 eV per atom; energy relative to the elements = -387.3 meV per atom
1.0
-2.846 -2.886 -0.601
0.953 -3.424 -2.040
1.248 -5.233 5.251
Ho Ga Ni
1 2 4
Cartesian
0.000 0.000 0.000
-0.135 -2.929 0.738
-0.510 -8.613 1.872
0.063 -6.412 2.561
0.485 -3.962 2.761
-0.707 -5.130 0.049
-1.129 -7.581 -0.151

No. 16
HoGa3Ni3 | Alexandria | GGA-PBE | relaxed; electronic total energy = -62.297 eV/cell; polymorph energy (0 for the lowest one) = 0.333 eV per atom; energy relative to the elements = -20.8 meV per atom
1.0
-0.474 5.781 2.735
-6.377 -0.633 0.234
0.481 -2.703 5.795
Ni Ho Ga
6 2 6
Cartesian
0.122 0.094 3.581
-3.068 -0.992 1.566
-5.020 2.415 1.543
-0.115 2.984 4.949
-2.828 -2.344 4.463
-1.831 2.732 1.426
-3.185 1.222 4.382
0.000 0.000 0.000
-1.354 -1.510 2.956
-4.542 -1.826 3.073
0.124 0.863 5.714
-3.544 4.019 2.168
-0.117 2.215 2.816
-3.307 1.129 0.801

No. 17
HoGa5Ni3 | Alexandria | GGA-PBE | relaxed; electronic total energy = -80.784 eV/cell; energy relative to the elements = -370.6 meV per atom
1.0
3.879 0.000 0.000
-1.939 6.166 0.000
0.000 0.000 12.264
Ho Ga Ni
2 10 6
Cartesian
1.939 4.126 9.198
0.000 2.040 3.066
1.939 3.619 5.321
0.000 2.547 11.453
0.000 0.000 6.132
0.000 0.000 0.000
0.000 5.457 1.857
1.939 0.709 10.408
1.939 0.709 7.989
1.939 3.619 0.811
0.000 2.547 6.943
0.000 5.457 4.276
0.000 4.862 11.742
1.939 4.463 3.066
0.000 4.862 6.654
1.939 1.304 5.610
0.000 1.703 9.198
1.939 1.304 0.522

No. 18
HoGa4Ni8 | Alexandria | GGA-PBE | relaxed; electronic total energy = -67.533 eV/cell; energy relative to the elements = -353.6 meV per atom
1.0
5.033 0.000 0.000
2.517 5.831 0.000
2.517 0.000 5.831
Ho Ga Ni
1 4 8
Cartesian
0.000 0.000 0.000
1.258 0.000 2.916
3.775 0.000 2.916
1.258 2.916 0.000
3.775 2.916 0.000
2.517 2.050 3.781
2.517 3.781 2.050
5.033 3.781 3.781
5.033 2.050 2.050
5.033 4.527 1.304
5.033 1.304 4.527
2.517 1.304 1.304
7.550 4.527 4.527

No. 19
Ho3Ga3Ni2 | Alexandria | GGA-PBE | relaxed; electronic total energy = -156.956 eV/cell; energy relative to the elements = -607.8 meV per atom
1.0
-3.856 3.791 0.618
-2.906 -1.803 -7.069
-8.750 -9.898 6.122
Ho Ga Ni
12 12 8
Cartesian
-5.223 -4.232 -0.772
-7.850 -3.746 3.820
-12.753 -6.467 2.168
-5.197 -1.377 -5.873
-10.288 -3.679 0.444
-7.662 -4.165 -4.148
-2.759 -1.444 -2.496
-10.315 -6.534 5.545
-5.525 -0.657 -0.301
-7.599 -7.271 3.357
-9.987 -7.253 -0.027
-7.913 -0.640 -3.686
-3.105 -2.327 0.458
-9.920 -5.698 2.583
-12.407 -5.583 -0.786
-5.592 -2.212 -2.911
-7.330 -2.804 0.992
-5.695 -5.220 2.048
-11.893 -9.305 1.277
-6.105 1.508 -4.974
-8.181 -5.106 -1.320
-9.816 -2.690 -2.377
-3.619 1.394 -1.605
-9.407 -9.419 4.645
-7.123 -0.756 2.271
-7.922 -5.283 1.093
-10.924 -10.022 -0.826
-5.055 0.240 -3.195
-8.388 -7.154 -2.600
-7.590 -2.628 -1.421
-4.588 2.112 0.497
-10.457 -8.151 2.867

No. 20
Ho4Ga3Ni | Alexandria | GGA-PBE | relaxed; electronic total energy = -37.622 eV/cell; energy relative to the elements = -556.1 meV per atom
1.0
3.857 0.000 0.000
0.000 4.288 0.000
0.000 0.000 10.919
Ho Ga Ni
4 3 1
Cartesian
1.929 2.144 3.722
0.000 2.144 9.521
0.000 0.000 1.528
1.929 0.000 7.102
0.000 2.144 6.270
0.000 0.000 4.632
1.929 0.000 10.146
1.929 2.144 0.753

No. 21
HoGa2Ni6 | Alexandria | GGA-PBE | relaxed; electronic total energy = -87.528 eV/cell; energy relative to the elements = 172.8 meV per atom
1.0
-0.924 3.640 -6.400
-5.093 -2.307 -4.879
-6.138 4.013 -1.133
Ho Ga Ni
2 4 12
Cartesian
-6.078 2.673 -6.206
-9.116 4.010 -9.309
-1.519 0.668 -1.552
-4.066 -0.485 -3.991
-4.588 2.675 -2.118
-1.981 2.489 -4.752
-6.107 3.327 -3.733
-6.048 2.020 -8.679
-5.598 0.246 -5.559
-8.590 2.202 -6.112
-9.146 4.663 -6.836
-11.629 3.539 -9.215
-6.558 5.101 -6.853
-9.087 3.357 -11.782
-8.637 1.582 -8.662
-6.604 4.482 -9.404
-3.565 3.145 -6.301
-9.596 6.438 -9.956

No. 22
HoGa3Ni3 | Alexandria | GGA-PBE | relaxed; electronic total energy = -66.965 eV/cell; polymorph energy (0 for the lowest one) = 0.000 eV per atom; energy relative to the elements = -354.3 meV per atom
1.0
6.445 0.000 0.000
3.223 5.582 0.000
3.223 1.861 5.990
Ho Ga Ni
2 6 6
Cartesian
6.445 3.721 5.831
6.445 3.721 0.159
7.929 5.279 3.751
7.053 1.657 3.751
4.354 4.227 3.751
8.536 3.215 2.238
5.838 5.785 2.238
4.962 2.163 2.238
4.001 4.345 1.219
7.127 1.293 1.219
8.208 5.526 1.219
4.683 1.917 4.771
5.764 6.150 4.771
8.889 3.097 4.771